(1)
First-principles (PBE) data for a relaxed structure of LiCu2Os, as listed in Alexandria.

Computed properties:
Density (g cm⁻³): 10.4
ΔH_f (0 K) (eV/atom): 0.41
N(E_F) (states/eV per atom): 1.10
Energy above the lowest structure with this stoichiometry (meV per atom): 326.0
Symmetry: Fm-3m
E_tot (eV/atom): -4.93

```
LiCu2Os
1.0
0.000 2.954 2.954
2.954 0.000 2.954
2.954 2.954 0.000
Li Cu Os
1 2 1
Direct
0.000 0.000 0.000
0.250 0.250 0.250
0.750 0.750 0.750
0.500 0.500 0.500
```

=====

(2)
First-principles (PBE) data for a relaxed structure of Li2CuOs, as listed in Alexandria.

Computed properties:
Density (g cm⁻³): 8.7
ΔH_f (0 K) (eV/atom): 0.47
N(E_F) (states/eV per atom): 0.95
Energy above the lowest structure with this stoichiometry (meV per atom): 387.3
Symmetry: I-4m2
E_tot (eV/atom): -4.31

```
Li2CuOs
1.0
-1.875 1.875 3.619
1.875 -1.875 3.619
1.875 1.875 -3.619
Li Cu Os
2 1 1
Direct
0.000 0.000 0.000
0.750 0.250 0.500
0.500 0.500 0.000
0.250 0.750 0.500
```

=====

(3)
First-principles (PBE) data for a relaxed structure of Li3CuOs, as listed in Alexandria.

Computed properties:
Density (g cm⁻³): 6.4
ΔH_f (0 K) (eV/atom): 1.06
N(E_F) (states/eV per atom): 0.19
Energy above the lowest structure with this stoichiometry (meV per atom): 0.0
Symmetry: Pm-3m
E_tot (eV/atom): -3.15

```
Li3CuOs
1.0
4.150 0.000 0.000
0.000 4.150 0.000
0.000 0.000 4.150
Li Cu Os
3 1 1
Direct
0.000 0.000 0.500
0.000 0.500 0.000
0.500 0.000 0.000
0.000 0.000 0.000
0.500 0.500 0.500
```

=====

(4)
First-principles (PBE) data for a relaxed structure of LiCu2Os, as listed in Alexandria.

Computed properties:
Density (g cm⁻³): 10.1
ΔH_f (0 K) (eV/atom): 0.16
N(E_F) (states/eV per atom): 0.47
Energy above the lowest structure with this stoichiometry (meV per atom): 82.3
Symmetry: R-3m
E_tot (eV/atom): -5.17

```
LiCu2Os
1.0
1.321 0.763 8.782
-1.321 0.763 8.782
0.000 -1.525 8.782
Li Cu Os
1 2 1
Direct
0.000 0.000 0.000
0.250 0.250 0.250
0.750 0.750 0.750
0.500 0.500 0.500
```

=====

(5)
First-principles (PBE) data for a relaxed structure of Li2CuOs, as listed in Alexandria.

Computed properties:
Density (g cm⁻³): 7.8
ΔH_f (0 K) (eV/atom): 0.20
N(E_F) (states/eV per atom): 0.76
Energy above the lowest structure with this stoichiometry (meV per atom): 112.5
Symmetry: Cmm2
E_tot (eV/atom): -4.59

```
Li2CuOs
1.0
1.409 -2.189 0.000
1.409 2.189 0.000
0.000 0.000 9.252
Li Cu Os
2 1 1
Direct
0.000 0.000 0.000
0.500 0.500 0.288
0.000 0.000 0.520
0.500 0.500 0.761
```

=====

(6)
First-principles (PBE) data for a relaxed structure of LiCu2Os, as listed in Alexandria.

Computed properties:
Density (g cm⁻³): 10.4
ΔH_f (0 K) (eV/atom): 0.22
N(E_F) (states/eV per atom): 0.79
Energy above the lowest structure with this stoichiometry (meV per atom): 142.4
Symmetry: Pmmm
E_tot (eV/atom): -5.11

```
LiCu2Os
1.0
2.503 0.000 0.000
0.000 3.973 0.000
0.000 0.000 5.223
Li Cu Os
1 2 1
Direct
0.000 0.000 0.000
0.500 0.500 0.258
0.500 0.500 0.742
0.000 0.000 0.500
```